The following is a DFT calculation (PBE) of a geometry-optimized Zr2SiRu structure.

```
Zr2SiRu
1.0
-6.579 2.835 -3.823
-5.050 1.152 -6.253
-7.001 -0.455 -4.088
Ru Si Zr
1 1 2
direct
0.250 0.250 0.250
0.750 0.750 0.750
0.000 0.000 0.000
0.500 0.500 0.500
```

Crystal system ... trigonal
Uncorrected formation energy ... -5.9 kcal/mol of atoms
Symmetry ... No. 166
Uncorrected energy ... -32.827 eV per formula unit
Spin magnetization ... 0.0 μB/f.u.



The following is a DFT calculation (PBE) of a geometry-optimized ZrSi2Ru structure.

```
ZrSi2Ru
1.0
-4.179 1.516 0.606
-3.402 -1.826 -2.284
-3.022 -2.543 2.128
Ru Si Zr
1 2 1
direct
0.500 0.500 0.500
0.000 0.000 0.000
0.750 0.750 0.750
0.250 0.250 0.250
```

Crystal system ... cubic
Uncorrected formation energy ... -5.5 kcal/mol of atoms
Symmetry ... No. 216
Uncorrected energy ... -29.628 eV per formula unit
Spin magnetization ... 0.0 μB/f.u.



The following is a DFT calculation (PBE) of a geometry-optimized Zr2SiRu2 structure.

```
Zr2SiRu2
1.0
-3.259 0.681 0.939
-0.782 -3.358 -0.281
-0.067 -2.427 7.903
Ru Si Zr
2 1 2
direct
0.750 0.250 0.500
0.250 0.750 0.500
0.000 0.000 0.000
0.397 0.397 0.206
0.603 0.603 0.794
```

Crystal system ... tetragonal
Uncorrected formation energy ... -0.2 kcal/mol of atoms
Symmetry ... No. 139
Uncorrected energy ... -41.125 eV per formula unit
Spin magnetization ... 0.0 μB/f.u.
E above lowest polymorph ... 499 meV/atom



The following is a DFT calculation (PBE) of a geometry-optimized ZrSi2Ru structure.

```
ZrSi2Ru
1.0
-1.801 -4.196 -0.497
0.490 -3.778 -2.566
2.946 -2.705 2.716
Ru Si Zr
1 2 1
direct
0.267 0.267 0.168
0.000 0.000 0.009
0.737 0.737 0.803
0.496 0.496 0.520
```

Crystal system ... monoclinic
Uncorrected formation energy ... -11.2 kcal/mol of atoms
Symmetry ... No. 8
Uncorrected energy ... -30.616 eV per formula unit
Spin magnetization ... 0.0 μB/f.u.